*a*
Pm5Sm4Er after structural relaxation. Source: Alexandria via LeMat-Bulk, functional GGA-PBE.

Results
As for the crystal system: tetragonal. The value obtained for the density is 7.19 g/cm³. The space group is I4.

Cell and atoms, written as extended XYZ:
```
10
Lattice="-5.2893 5.2893 3.0812 5.2893 -5.2893 3.0812 5.2893 5.2893 -3.0812" Properties=species:S:1:pos:R:3 pbc="T T T"
Pm 0.0000 0.0000 0.0000
Pm 3.2960 3.2889 -1.3939
Pm 2.0004 -1.9933 1.6873
Pm 3.2889 7.2826 -1.3939
Pm 1.9933 2.0004 1.6873
Sm 5.2932 -1.8602 1.5255
Sm 5.2854 1.8602 1.5255
Sm -1.8602 5.2854 1.5255
Sm 1.8602 5.2932 1.5255
Er 0.0000 0.0000 3.2869
```



*b*
Pm5Sm4Er after structural relaxation. Source: Alexandria via LeMat-Bulk, functional GGA-PBE.

Results
As for the crystal system: triclinic. The value obtained for the density is 7.36 g/cm³. The space group is P-1.

Cell and atoms, written as extended XYZ:
```
10
Lattice="3.6241 0.0000 0.0000 1.8060 9.4157 0.0000 0.0131 2.7973 9.8804" Properties=species:S:1:pos:R:3 pbc="T T T"
Pm 0.0000 0.0000 0.0000
Pm 1.8097 5.9305 0.9879
Pm 1.8194 3.8183 6.8945
Pm 3.6238 8.3947 2.9859
Pm 3.6335 6.2825 8.8925
Sm 1.8167 7.3353 5.9268
Sm 1.8147 2.4405 2.0059
Sm 3.6285 9.7725 7.8745
Sm 3.6266 4.8777 3.9537
Er 0.0066 1.3986 4.9402
```



Unit: meV/atom. Relative energies: *a* 224; *b* 0.



*a*
PmSm2Er6 after structural relaxation. Source: Alexandria via LeMat-Bulk, functional GGA-PBE.

Results
As for the crystal system: trigonal. The value obtained for the density is 8.34 g/cm³. The space group is P-3m1.

Cell and atoms, written as extended XYZ:
```
9
Lattice="7.4421 0.0000 0.0000 -3.7210 6.4450 0.0000 0.0000 0.0000 6.0192" Properties=species:S:1:pos:R:3 pbc="T T T"
Pm 0.0000 0.0000 0.0000
Sm 0.0000 4.2967 4.7454
Sm 3.7210 2.1483 1.2738
Er 0.0000 2.4146 1.7894
Er -1.6300 5.2377 1.7894
Er 2.0911 1.2073 4.2298
Er 1.6300 5.2377 1.7894
Er 5.3510 1.2073 4.2298
Er 3.7210 4.0305 4.2298
```



*b*
PmSm2Er6 after structural relaxation. Source: Alexandria via LeMat-Bulk, functional GGA-PBE.

Results
As for the crystal system: monoclinic. The value obtained for the density is 8.49 g/cm³. The space group is C2/m.

Cell and atoms, written as extended XYZ:
```
9
Lattice="8.4366 -4.8722 0.0000 8.4366 4.8722 0.0000 -0.0094 0.0000 3.4491" Properties=species:S:1:pos:R:3 pbc="T T T"
Pm 0.0000 0.0000 0.0000
Sm 5.6151 0.0000 3.4490
Sm 11.2485 0.0000 0.0001
Er 2.8096 1.6244 1.7272
Er 14.0540 -1.6244 1.7218
Er 2.8096 -1.6244 1.7272
Er 8.4318 1.6208 1.7245
Er 8.4318 -1.6208 1.7245
Er 14.0540 1.6244 1.7218
```



Unit: meV/atom. Relative energies: *a* 161; *b* 0.



*a*
Pm3Sm3Er2 after structural relaxation. Source: Alexandria via LeMat-Bulk, functional GGA-PBE.

Results
As for the crystal system: orthorhombic. The value obtained for the density is 7.55 g/cm³. The space group is Pmmn.

Cell and atoms, written as extended XYZ:
```
16
Lattice="5.7836 0.0000 0.0000 0.0000 14.6520 0.0000 0.0000 0.0000 6.3342" Properties=species:S:1:pos:R:3 pbc="T T T"
Pm 1.4459 1.8201 1.0598
Pm 1.4459 5.5059 1.0598
Pm 1.4459 10.9890 4.1907
Pm 4.3377 3.6630 2.1435
Pm 4.3377 9.1461 5.2744
Pm 4.3377 12.8319 5.2744
Sm 1.4459 0.0079 4.2248
Sm 1.4459 3.6630 4.2626
Sm 1.4459 7.3181 4.2248
Sm 4.3377 7.3339 2.1094
Sm 4.3377 10.9890 2.0715
Sm 4.3377 14.6441 2.1094
Er 1.4459 9.1634 1.0371
Er 1.4459 12.8146 1.0371
Er 4.3377 1.8374 5.2971
Er 4.3377 5.4886 5.2971
```



*b*
Pm3Sm3Er2 after structural relaxation. Source: Alexandria via LeMat-Bulk, functional GGA-PBE.

Results
As for the crystal system: monoclinic. The value obtained for the density is 7.58 g/cm³. The space group is C2/m.

Cell and atoms, written as extended XYZ:
```
8
Lattice="8.2573 -2.8848 0.0000 8.2573 2.8848 0.0000 -2.1842 0.0000 5.6154" Properties=species:S:1:pos:R:3 pbc="T T T"
Pm 0.0000 0.0000 0.0000
Pm 0.7103 0.0000 3.8833
Pm 13.6201 0.0000 1.7321
Sm 4.0295 0.0000 5.1727
Sm 7.1652 0.0000 2.8077
Sm 10.3010 0.0000 0.4427
Er 3.4356 0.0000 1.7834
Er 10.8949 0.0000 3.8320
```



Unit: meV/atom. Relative energies: *a* 0; *b* 52.



*a*
PmSm2Er2 after structural relaxation. Source: Alexandria via LeMat-Bulk, functional GGA-PBE.

Results
As for the crystal system: monoclinic. The value obtained for the density is 7.49 g/cm³. The space group is C2/c.

Cell and atoms, written as extended XYZ:
```
10
Lattice="4.6739 -6.7302 0.0000 4.6739 6.7302 0.0000 -2.4744 0.0000 5.4973" Properties=species:S:1:pos:R:3 pbc="T T T"
Pm 2.8181 5.8182 4.1230
Pm 4.0553 -5.8182 1.3743
Sm 2.6654 1.0000 0.6510
Sm 1.4282 -1.0000 3.3996
Sm 5.4452 1.0000 2.0977
Sm 4.2080 -1.0000 4.8464
Er 4.0553 4.0385 1.3743
Er 2.8181 2.2501 4.1230
Er 4.0553 -2.2501 1.3743
Er 2.8181 -4.0385 4.1230
```



*b*
PmSm2Er2 after structural relaxation. Source: Alexandria via LeMat-Bulk, functional GGA-PBE.

Results
As for the crystal system: monoclinic. The value obtained for the density is 7.89 g/cm³. The space group is C2/c.

Cell and atoms, written as extended XYZ:
```
10
Lattice="4.6299 -4.2837 0.0000 4.6299 4.2837 0.0000 -4.5716 0.0000 8.2836" Properties=species:S:1:pos:R:3 pbc="T T T"
Pm 1.2013 3.6926 6.2127
Pm 3.4870 -3.6926 2.0709
Sm -0.2907 0.6408 5.4635
Sm 1.9951 -0.6408 1.3217
Sm 2.6932 0.6408 6.9618
Sm 4.9790 -0.6408 2.8201
Er 4.0261 1.7751 0.3765
Er 2.9479 1.7751 3.7653
Er 1.7404 -1.7751 4.5183
Er 0.6622 -1.7751 7.9071
```



Unit: meV/atom. Relative energies: *a* 152; *b* 0.



*a*
PmSm2Er9 after structural relaxation. Source: Alexandria via LeMat-Bulk, functional GGA-PBE.

Results
As for the crystal system: tetragonal. The value obtained for the density is 8.63 g/cm³. The space group is P4/mmm.

Cell and atoms, written as extended XYZ:
```
12
Lattice="5.0026 0.0000 0.0000 0.0000 5.0026 0.0000 0.0000 0.0000 15.0068" Properties=species:S:1:pos:R:3 pbc="T T T"
Pm 0.0000 0.0000 0.0000
Sm 0.0000 0.0000 5.0042
Sm 0.0000 0.0000 10.0026
Er 0.0000 2.5013 2.5076
Er 0.0000 2.5013 7.5034
Er 0.0000 2.5013 12.4992
Er 2.5013 0.0000 2.5076
Er 2.5013 0.0000 7.5034
Er 2.5013 0.0000 12.4992
Er 2.5013 2.5013 0.0000
Er 2.5013 2.5013 5.0066
Er 2.5013 2.5013 10.0002
```



*b*
PmSm2Er9 after structural relaxation. Source: Alexandria via LeMat-Bulk, functional GGA-PBE.

Results
As for the crystal system: hexagonal. The value obtained for the density is 8.54 g/cm³. The space group is P6/mmm.

Cell and atoms, written as extended XYZ:
```
12
Lattice="11.1855 0.0000 0.0000 -5.5928 9.6870 0.0000 0.0000 0.0000 3.5009" Properties=species:S:1:pos:R:3 pbc="T T T"
Pm 0.0000 0.0000 0.0000
Sm 0.0000 6.4580 0.0000
Sm 5.5928 3.2290 0.0000
Er -2.7964 4.8435 0.0000
Er 0.0000 3.4178 1.7505
Er -2.6329 7.9780 1.7505
Er 2.9599 1.7089 1.7505
Er 5.5928 0.0000 0.0000
Er 2.7964 4.8435 0.0000
Er 2.6328 7.9780 1.7505
Er 8.2256 1.7089 1.7505
Er 5.5928 6.2691 1.7505
```



Unit: meV/atom. Relative energies: *a* 0; *b* 33.



*a*
Pm4Sm7Er after structural relaxation. Source: Alexandria via LeMat-Bulk, functional GGA-PBE.

Results
As for the crystal system: triclinic. The value obtained for the density is 7.37 g/cm³. The space group is P-1.

Cell and atoms, written as extended XYZ:
```
12
Lattice="6.3213 0.0000 0.0000 0.0005 7.3041 0.0000 2.1084 0.0084 8.7829" Properties=species:S:1:pos:R:3 pbc="T T T"
Pm 2.1032 1.8408 2.9048
Pm 3.1544 7.3081 5.8607
Pm 5.2757 0.0045 2.9222
Pm 6.3270 5.4717 5.8781
Sm 8.4277 1.8431 8.7806
Sm 0.0025 5.4694 0.0023
Sm 2.1037 5.4747 2.9043
Sm 3.1700 3.6543 5.8636
Sm 3.1606 0.0000 0.0000
Sm 5.2601 3.6582 2.9193
Sm 6.3265 1.8378 5.8786
Er 3.1609 3.6520 0.0000
```



*b*
Pm4Sm7Er after structural relaxation. Source: Alexandria via LeMat-Bulk, functional GGA-PBE.

Results
As for the crystal system: monoclinic. The value obtained for the density is 7.23 g/cm³. The space group is C2/m.

Cell and atoms, written as extended XYZ:
```
12
Lattice="8.1758 -3.0109 0.0000 8.1758 3.0109 0.0000 -4.1164 0.0000 8.3918" Properties=species:S:1:pos:R:3 pbc="T T T"
Pm 0.3977 0.0000 1.6848
Pm -0.8075 0.0000 7.4545
Pm 13.0427 0.0000 0.9373
Pm 11.8376 0.0000 6.7069
Sm -2.0582 0.0000 4.1959
Sm 2.1789 0.0000 5.2381
Sm 3.6513 0.0000 2.3138
Sm 6.5967 0.0000 0.5437
Sm 5.6385 0.0000 7.8481
Sm 8.5839 0.0000 6.0779
Sm 10.0563 0.0000 3.1537
Er 6.1176 0.0000 4.1959
```



Unit: meV/atom. Relative energies: *a* 0; *b* 211.